No. 1
This record from Alexandria via LeMat-Bulk describes an optimized crystal structure of MgAg2BiAu. The functional is PBE-GGA.

Cell: 5.351 5.351 5.502 Å, 90.00 90.00 90.00°
Space group P4/mmm (No. 123)
One atom of each set of equivalent atoms:
Mg: 0.000 0.000 0.000 [1 per cell]
Ag: 0.000 0.500 0.500 [2 per cell]
Bi: 0.000 0.000 0.500 [1 per cell]
Au: 0.500 0.500 0.000 [1 per cell]

For the formation enthalpy at 0 K, the calculation gives 0.537 eV/atom.

No. 2
This record from Alexandria via LeMat-Bulk describes an optimized crystal structure of Sr2PuCl6. The functional is PBE-GGA.

Cell: 6.756 6.756 13.364 Å, 90.00 90.00 90.00°
Space group P4_2/mnm (No. 136)
One atom of each set of equivalent atoms:
Sr: 0.000 0.000 0.167 [4 per cell]
Pu: 0.000 0.000 0.500 [2 per cell]
Cl: 0.195 0.195 0.335 [8 per cell]
Cl: 0.198 0.198 0.000 [4 per cell]

For the formation energy from raw total energies, the calculation gives -2196.2 meV/atom.

No. 3
This record from Alexandria via LeMat-Bulk describes an optimized crystal structure of Pm8Si2Hg. The functional is PBE-GGA.

Cell: 8.747 13.752 5.725 Å, 90.00 108.92 90.00°
Space group C2/m (No. 12)
One atom of each set of equivalent atoms:
Pm: 0.000 0.242 0.000 [4 per cell]
Pm: 0.100 0.500 0.802 [4 per cell]
Pm: 0.196 0.122 0.571 [8 per cell]
Si: 0.000 0.308 0.500 [4 per cell]
Hg: 0.000 0.000 0.000 [2 per cell]

For the formation energy from raw total energies, the calculation gives -265.4 meV/atom.

No. 4
This record from Alexandria via LeMat-Bulk describes an optimized crystal structure of Pu2TiGe3Ir4. The functional is PBE-GGA.

Cell: 4.110 4.110 10.855 Å, 90.00 90.00 90.00°
Space group P-4m2 (No. 115)
One atom of each set of equivalent atoms:
Pu: 0.000 0.500 0.244 [2 per cell]
Ti: 0.000 0.000 0.500 [1 per cell]
Ge: 0.000 0.500 0.871 [2 per cell]
Ge: 0.500 0.500 0.500 [1 per cell]
Ir: 0.000 0.000 0.000 [1 per cell]
Ir: 0.000 0.500 0.642 [2 per cell]
Ir: 0.500 0.500 0.000 [1 per cell]

For the formation enthalpy at 0 K, the calculation gives -0.637 eV/atom.

No. 5
This record from Alexandria via LeMat-Bulk describes an optimized crystal structure of PmDy4Ru4. The functional is PBE-GGA.

Cell: 8.826 8.826 5.580 Å, 90.00 90.00 90.00°
Space group P4_2/n (No. 86, origin choice 2)
One atom of each set of equivalent atoms:
Pm: 0.250 0.250 0.250 [2 per cell]
Dy: 0.066 0.674 0.128 [8 per cell]
Ru: 0.015 0.622 0.619 [8 per cell]

For the formation enthalpy at 0 K, the calculation gives -0.060 eV/atom.

No. 6
This record from Alexandria via LeMat-Bulk describes an optimized crystal structure of Cr2Pd2Rh. The functional is PBE-GGA.

Cell: 6.103 6.103 3.892 Å, 90.00 90.00 90.00°
Space group P4/mbm (No. 127)
One atom of each set of equivalent atoms:
Cr: 0.111 0.389 0.000 [4 per cell]
Pd: 0.187 0.687 0.500 [4 per cell]
Rh: 0.000 0.000 0.000 [2 per cell]

For the formation enthalpy at 0 K, the calculation gives 0.240 eV/atom. The value obtained for the relative energy among the computed polymorphs is 0.0 kJ/mol of formula units.

No. 7
This record from Alexandria via LeMat-Bulk describes an optimized crystal structure of NdTh5Se6. The functional is PBE-GGA.

Cell: 7.300 12.614 7.279 Å, 90.00 109.43 90.00°
Space group C2/m (No. 12)
One atom of each set of equivalent atoms:
Nd: 0.000 0.000 0.000 [2 per cell]
Th: 0.000 0.166 0.500 [4 per cell]
Th: 0.000 0.333 0.000 [4 per cell]
Th: 0.000 0.500 0.500 [2 per cell]
Se: 0.250 0.000 0.751 [4 per cell]
Se: 0.250 0.166 0.249 [8 per cell]

For the formation energy from raw total energies, the calculation gives -1586.3 meV/atom.

No. 8
This record from Alexandria via LeMat-Bulk describes an optimized crystal structure of Tb4DySe6. The functional is PBE-GGA.

Cell: 3.997 13.453 20.820 Å, 90.00 90.00 90.00°
Space group Cmcm (No. 63)
One atom of each set of equivalent atoms:
Tb: 0.000 0.089 0.127 [8 per cell]
Tb: 0.000 0.359 0.038 [8 per cell]
Dy: 0.000 0.153 0.750 [4 per cell]
Se: 0.000 0.000 0.000 [4 per cell]
Se: 0.000 0.192 0.250 [4 per cell]
Se: 0.000 0.269 0.591 [8 per cell]
Se: 0.000 0.446 0.167 [8 per cell]

For the formation energy from raw total energies, the calculation gives -1827.6 meV/atom.

No. 9
This record from Alexandria via LeMat-Bulk describes an optimized crystal structure of Pm4Nd2HoTm2. The functional is PBE-GGA.

Cell: 15.344 5.112 8.037 Å, 90.00 108.59 90.00°
Space group C2/m (No. 12)
One atom of each set of equivalent atoms:
Pm: 0.055 0.000 0.330 [4 per cell]
Pm: 0.222 0.500 0.330 [4 per cell]
Nd: 0.112 0.500 0.670 [4 per cell]
Ho: 0.000 0.500 0.000 [2 per cell]
Tm: 0.167 0.000 0.000 [4 per cell]

For the formation enthalpy at 0 K, the calculation gives 0.023 eV/atom.

No. 10
This record from Alexandria via LeMat-Bulk describes an optimized crystal structure of SrAg2Cl. The functional is PBE-GGA.

Cell: 3.874 3.874 7.362 Å, 90.00 90.00 90.00°
Space group P4mm (No. 99)
One atom of each set of equivalent atoms:
Sr: 0.000 0.000 0.000 [1 per cell]
Ag: 0.000 0.000 0.408 [1 per cell]
Ag: 0.500 0.500 0.328 [1 per cell]
Cl: 0.500 0.500 0.840 [1 per cell]

For the formation energy from raw total energies, the calculation gives -722.5 meV/atom. The value obtained for the relative energy among the computed polymorphs is 17.2 kJ/mol of formula units.

No. 11
This record from Alexandria via LeMat-Bulk describes an optimized crystal structure of Pm2Sn3Pd5. The functional is PBE-GGA.

Cell: 4.503 25.525 7.194 Å, 90.00 90.00 90.00°
Space group Cmc2_1 (No. 36)
One atom of each set of equivalent atoms:
Pm: 0.000 0.021 0.000 [4 per cell]
Pm: 0.000 0.318 0.955 [4 per cell]
Sn: 0.000 0.104 0.321 [4 per cell]
Sn: 0.000 0.287 0.398 [4 per cell]
Sn: 0.000 0.438 0.194 [4 per cell]
Pd: 0.000 0.120 0.731 [4 per cell]
Pd: 0.000 0.198 0.124 [4 per cell]
Pd: 0.000 0.229 0.704 [4 per cell]
Pd: 0.000 0.384 0.529 [4 per cell]
Pd: 0.000 0.458 0.812 [4 per cell]

For the formation enthalpy at 0 K, the calculation gives -0.741 eV/atom. The value obtained for the relative energy among the computed polymorphs is 0.0 kJ/mol of formula units.

No. 12
This record from Alexandria via LeMat-Bulk describes an optimized crystal structure of LaTlCo2. The functional is PBE-GGA.

Cell: 3.668 3.876 5.467 Å, 90.00 90.00 90.00°
Space group Pmm2 (No. 25)
One atom of each set of equivalent atoms:
La: 0.000 0.000 0.000 [1 per cell]
Tl: 0.500 0.500 0.381 [1 per cell]
Co: 0.000 0.000 0.558 [1 per cell]
Co: 0.500 0.500 0.854 [1 per cell]

For the formation enthalpy at 0 K, the calculation gives 0.355 eV/atom. The value obtained for the relative energy among the computed polymorphs is 144.3 kJ/mol of formula units.